[1]
The following is a PBE-GGA calculation of an optimized crystal structure of ScSi3Se, from Alexandria via LeMat-Bulk.

abc: 5.091 5.091 5.091
angles: 90.00 90.00 90.00
Positions (direct):
Sc  0.000  0.000  0.000
Si  0.000  0.500  0.000
Si  0.000  0.000  0.500
Si  0.500  0.000  0.000
Se  0.500  0.500  0.500

Properties
final energy = -4.176 eV/atom
uncorrected formation energy = 1.0415 eV/atom
ΔE to the lowest computed polymorph = 0.275 eV/atom

[2]
The following is a PBE-GGA calculation of an optimized crystal structure of SrIN2O, from Alexandria via LeMat-Bulk.

abc: 5.133 5.133 6.466
angles: 90.00 90.00 90.00
Site moments in Bohr magnetons follow the coordinates.
Positions (direct):
I  0.000  0.000  0.500  0.29
Sr  0.000  0.000  0.000  0.03
O  0.500  0.500  0.500  1.43
N  0.000  0.500  0.000  1.54
N  0.500  0.000  0.000  1.54

Properties
final energy = -3.410 eV/atom
uncorrected formation energy = 1.5581 eV/atom

[3]
The following is a PBE-GGA calculation of an optimized crystal structure of LiLa2AgIr, from Alexandria via LeMat-Bulk.

abc: 5.507 5.507 4.837
angles: 90.00 90.00 90.00
Positions (direct):
Ir  0.000  0.000  0.000
Li  0.000  0.000  0.500
Ag  0.500  0.500  0.500
La  0.000  0.500  0.000
La  0.500  0.000  0.000

Properties
final energy = -4.963 eV/atom
ΔE to the lowest computed polymorph = 0.170 eV/atom
formation energy from the elements = -6.14 kcal/mol of atoms

[4]
The following is a PBE-GGA calculation of an optimized crystal structure of ThRh3, from Alexandria via LeMat-Bulk.

abc: 4.161 4.161 5.030
angles: 114.43 114.43 90.00
Positions (direct):
Rh  0.750  0.250  0.500
Rh  0.250  0.750  0.500
Rh  0.500  0.500  0.000
Th  0.000  0.000  0.000

Properties
final energy = -7.988 eV/atom
formation energy from the elements = -14.28 kcal/mol of atoms

[5]
The following is a PBE-GGA calculation of an optimized crystal structure of Fe2SnN, from Alexandria via LeMat-Bulk.

abc: 5.159 5.159 5.597
angles: 62.56 62.56 90.00
Site moments in Bohr magnetons follow the coordinates.
Positions (direct):
N  0.500  0.500  0.000  -0.04
N  0.250  0.750  0.500  -0.04
Sn  0.000  0.000  0.000  -0.02
Sn  0.750  0.250  0.500  -0.02
Fe  0.492  0.125  0.250  0.53
Fe  0.258  0.625  0.250  0.51
Fe  0.375  0.508  0.750  0.45
Fe  0.875  0.742  0.750  0.50

Properties
final energy = -7.091 eV/atom
uncorrected formation energy = 0.2220 eV/atom

[6]
The following is a PBE-GGA calculation of an optimized crystal structure of Nb2ZnSeCl, from Alexandria via LeMat-Bulk.

abc: 4.871 4.790 4.871
angles: 90.00 90.00 90.00
Positions (direct):
Nb  0.000  0.000  0.500
Nb  0.500  0.000  0.000
Zn  0.000  0.500  0.000
Se  0.000  0.000  0.000
Cl  0.500  0.500  0.500

Properties
final energy = -4.501 eV/atom
uncorrected formation energy = 0.8479 eV/atom

[7]
The following is a PBE-GGA calculation of an optimized crystal structure of InMoRu2, from Alexandria via LeMat-Bulk.

abc: 9.099 9.099 9.099
angles: 18.19 18.19 18.19
Positions (direct):
In  0.250  0.250  0.250
Mo  0.750  0.750  0.750
Ru  0.004  0.004  0.004
Ru  0.496  0.496  0.496

Properties
final energy = -7.846 eV/atom
formation energy from the elements = 4.25 kcal/mol of atoms

[8]
The following is a PBE-GGA calculation of an optimized crystal structure of CsTl4Pd2, from Alexandria via LeMat-Bulk.

abc: 6.990 7.002 9.697
angles: 111.22 111.16 89.96
Positions (direct):
Cs  0.250  0.750  0.500
Cs  0.000  0.000  0.000
Tl  0.972  0.196  0.394
Tl  0.278  0.554  0.106
Tl  0.803  0.579  0.607
Tl  0.804  0.028  0.607
Tl  0.422  0.197  0.393
Tl  0.447  0.171  0.893
Tl  0.446  0.722  0.893
Tl  0.828  0.553  0.107
Pd  0.625  0.375  0.750
Pd  0.625  0.875  0.250
Pd  0.625  0.375  0.250
Pd  0.125  0.375  0.750

Properties
final energy = -3.036 eV/atom
ΔE to the lowest computed polymorph = 0.014 eV/atom
formation energy from the elements = -1.81 kcal/mol of atoms

[9]
The following is a PBE-GGA calculation of an optimized crystal structure of Nd7Tm12Sc, from Alexandria via LeMat-Bulk.

abc: 9.699 9.699 9.699
angles: 109.47 109.47 109.47
Positions (direct):
Nd  0.500  0.500  0.000
Nd  0.000  0.500  0.500
Nd  0.500  0.000  0.500
Nd  0.500  0.500  0.500
Nd  0.000  0.000  0.500
Nd  0.500  0.000  0.000
Nd  0.000  0.500  0.000
Tm  0.520  0.760  0.760
Tm  0.000  0.760  0.240
Tm  0.480  0.240  0.240
Tm  0.000  0.240  0.760
Tm  0.760  0.000  0.240
Tm  0.760  0.520  0.760
Tm  0.240  0.000  0.760
Tm  0.240  0.480  0.240
Tm  0.760  0.760  0.520
Tm  0.240  0.240  0.480
Tm  0.760  0.240  0.000
Tm  0.240  0.760  0.000
Sc  0.000  0.000  0.000

Properties
final energy = -3.973 eV/atom
ΔE to the lowest computed polymorph = 0.462 eV/atom
formation energy from the elements = 16.03 kcal/mol of atoms

[10]
The following is a PBE-GGA calculation of an optimized crystal structure of Cu2ReRu, from Alexandria via LeMat-Bulk.

abc: 4.776 4.776 4.776
angles: 135.07 135.07 65.42
Positions (direct):
Cu  0.000  0.000  0.000
Cu  0.500  0.500  0.000
Re  0.750  0.250  0.500
Ru  0.250  0.750  0.500

Properties
final energy = -7.095 eV/atom
ΔE to the lowest computed polymorph = 0.252 eV/atom
formation energy from the elements = 8.86 kcal/mol of atoms

[11]
The following is a PBE-GGA calculation of an optimized crystal structure of LiInTeI2, from Alexandria via LeMat-Bulk.

abc: 6.061 6.061 5.701
angles: 90.00 90.00 90.00
Positions (direct):
I  0.000  0.500  0.000
I  0.500  0.000  0.000
Te  0.000  0.000  0.500
Li  0.500  0.500  0.500
In  0.000  0.000  0.000

Properties
final energy = -2.420 eV/atom
uncorrected formation energy = -0.2413 eV/atom
ΔE to the lowest computed polymorph = 0.000 eV/atom

[12]
The following is a PBE-GGA calculation of an optimized crystal structure of Te2AsW, from Alexandria via LeMat-Bulk.

abc: 3.348 5.012 5.012
angles: 90.00 90.00 90.00
Site moments in Bohr magnetons follow the coordinates.
Positions (direct):
As  0.500  0.000  0.500  -0.01
Te  0.000  0.000  0.000  0.00
Te  0.000  0.500  0.500  0.00
W  0.500  0.500  0.000  0.63

Properties
final energy = -5.118 eV/atom
uncorrected formation energy = 0.8538 eV/atom

final energy of number 5 (Fe2SnN)?
-7.091 eV/atom

What did the fourth record say?
The following is a PBE-GGA calculation of an optimized crystal structure of ThRh3, from Alexandria via LeMat-Bulk.

abc: 4.161 4.161 5.030
angles: 114.43 114.43 90.00
Positions (direct):
Rh  0.750  0.250  0.500
Rh  0.250  0.750  0.500
Rh  0.500  0.500  0.000
Th  0.000  0.000  0.000

Properties
final energy = -7.988 eV/atom
formation energy from the elements = -14.28 kcal/mol of atoms

Among the records above, which one has the lowest final energy?
ThRh3

The highest final energy belongs to which entry?
LiInTeI2